P:
# TaNi3Ge (PBE, optimized geometry)
# Total magnetic moment ... 0.0 μB/f.u.
data_TaNi3Ge
_chemical_formula_sum 'Ta1 Ni3 Ge1'
_cell_length_a 4.2390
_cell_length_b 4.2390
_cell_length_c 4.2390
_cell_angle_alpha 90.00
_cell_angle_beta 90.00
_cell_angle_gamma 90.00
_symmetry_space_group_name_H-M 'P 1'
_symmetry_Int_Tables_number 1
loop_
_symmetry_equiv_pos_as_xyz
'x,y,z'
loop_
_atom_site_label
_atom_site_type_symbol
_atom_site_fract_x
_atom_site_fract_y
_atom_site_fract_z
_atom_site_occupancy
Ni1 Ni 0.0000 0.5000 0.0000 1
Ni2 Ni 0.0000 0.0000 0.5000 1
Ni3 Ni 0.5000 0.0000 0.0000 1
Ge1 Ge 0.0000 0.0000 0.0000 1
Ta1 Ta 0.5000 0.5000 0.5000 1


Q:
# TaNi3Ge (PBE, optimized geometry)
# Total magnetic moment ... 0.0 μB/f.u.
data_TaNi3Ge
_chemical_formula_sum 'Ta2 Ni6 Ge2'
_cell_length_a 4.4964
_cell_length_b 6.8024
_cell_length_c 6.8024
_cell_angle_alpha 124.23
_cell_angle_beta 90.00
_cell_angle_gamma 90.00
_symmetry_space_group_name_H-M 'P 1'
_symmetry_Int_Tables_number 1
loop_
_symmetry_equiv_pos_as_xyz
'x,y,z'
loop_
_atom_site_label
_atom_site_type_symbol
_atom_site_fract_x
_atom_site_fract_y
_atom_site_fract_z
_atom_site_occupancy
Ta1 Ta 0.7500 0.5980 0.4020 1
Ta2 Ta 0.2500 0.4020 0.5980 1
Ni1 Ni 0.7500 0.6066 0.7693 1
Ni2 Ni 0.7500 0.2307 0.3934 1
Ni3 Ni 0.2500 0.7693 0.6066 1
Ni4 Ni 0.2500 0.3934 0.2307 1
Ni5 Ni 0.0000 0.0000 0.0000 1
Ni6 Ni 0.5000 0.0000 0.0000 1
Ge1 Ge 0.7500 0.8172 0.1828 1
Ge2 Ge 0.2500 0.1828 0.8172 1


R:
# TaNi3Ge (PBE, optimized geometry)
# Total magnetic moment ... 0.0 μB/f.u.
data_TaNi3Ge
_chemical_formula_sum 'Ta1 Ni3 Ge1'
_cell_length_a 4.5673
_cell_length_b 4.5673
_cell_length_c 4.5673
_cell_angle_alpha 90.00
_cell_angle_beta 90.00
_cell_angle_gamma 90.00
_symmetry_space_group_name_H-M 'P 1'
_symmetry_Int_Tables_number 1
loop_
_symmetry_equiv_pos_as_xyz
'x,y,z'
loop_
_atom_site_label
_atom_site_type_symbol
_atom_site_fract_x
_atom_site_fract_y
_atom_site_fract_z
_atom_site_occupancy
Ni1 Ni 0.0000 0.5000 0.0000 1
Ni2 Ni 0.0000 0.0000 0.5000 1
Ni3 Ni 0.5000 0.0000 0.0000 1
Ge1 Ge 0.5000 0.5000 0.5000 1
Ta1 Ta 0.0000 0.0000 0.0000 1


Going by the computed energies, the most stable comes first: Q, P, R.


P:
# Tb2Ni5Ge3 (PBE, optimized geometry)
# Total magnetic moment ... 0.0 μB/f.u.
data_Tb2Ni5Ge3
_chemical_formula_sum 'Tb4 Ni10 Ge6'
_cell_length_a 4.0952
_cell_length_b 6.5336
_cell_length_c 11.7616
_cell_angle_alpha 90.00
_cell_angle_beta 100.03
_cell_angle_gamma 90.00
_symmetry_space_group_name_H-M 'P 1'
_symmetry_Int_Tables_number 1
loop_
_symmetry_equiv_pos_as_xyz
'x,y,z'
loop_
_atom_site_label
_atom_site_type_symbol
_atom_site_fract_x
_atom_site_fract_y
_atom_site_fract_z
_atom_site_occupancy
Tb1 Tb 0.4743 0.7067 0.9485 1
Tb2 Tb 0.1739 0.7708 0.3477 1
Tb3 Tb 0.8261 0.2708 0.6523 1
Tb4 Tb 0.5257 0.2067 0.0515 1
Ni1 Ni 0.4080 0.2986 0.8160 1
Ni2 Ni 0.3014 0.6239 0.6028 1
Ni3 Ni 0.6986 0.1239 0.3972 1
Ni4 Ni 0.1261 0.2191 0.2521 1
Ni5 Ni 0.2719 0.0178 0.5439 1
Ni6 Ni 0.9415 0.0369 0.8829 1
Ni7 Ni 0.7281 0.5178 0.4561 1
Ni8 Ni 0.8739 0.7191 0.7479 1
Ni9 Ni 0.0585 0.5369 0.1171 1
Ni10 Ni 0.5920 0.7986 0.1840 1
Ge1 Ge 0.7725 0.8319 0.5451 1
Ge2 Ge 0.6263 0.4489 0.2527 1
Ge3 Ge 0.0499 0.9102 0.0998 1
Ge4 Ge 0.2275 0.3319 0.4549 1
Ge5 Ge 0.9501 0.4102 0.9002 1
Ge6 Ge 0.3737 0.9489 0.7473 1


Q:
# Tb2Ni5Ge3 (PBE, optimized geometry)
# Total magnetic moment ... 0.0 μB/f.u.
data_Tb2Ni5Ge3
_chemical_formula_sum 'Tb2 Ni5 Ge3'
_cell_length_a 3.8883
_cell_length_b 3.8883
_cell_length_c 10.7012
_cell_angle_alpha 90.00
_cell_angle_beta 90.00
_cell_angle_gamma 90.00
_symmetry_space_group_name_H-M 'P 1'
_symmetry_Int_Tables_number 1
loop_
_symmetry_equiv_pos_as_xyz
'x,y,z'
loop_
_atom_site_label
_atom_site_type_symbol
_atom_site_fract_x
_atom_site_fract_y
_atom_site_fract_z
_atom_site_occupancy
Tb1 Tb 0.5000 0.0000 0.2097 1
Tb2 Tb 0.0000 0.5000 0.7903 1
Ni1 Ni 0.5000 0.5000 0.0000 1
Ni2 Ni 0.0000 0.0000 0.0000 1
Ni3 Ni 0.5000 0.0000 0.8654 1
Ni4 Ni 0.0000 0.5000 0.1346 1
Ni5 Ni 0.5000 0.5000 0.5000 1
Ge1 Ge 0.5000 0.0000 0.6517 1
Ge2 Ge 0.0000 0.5000 0.3483 1
Ge3 Ge 0.0000 0.0000 0.5000 1


Going by the computed energies, the most stable comes first: P, Q.


P:
# Tb2Ni2Ge3 (PBE, optimized geometry)
# Total magnetic moment ... 0.0 μB/f.u.
data_Tb2Ni2Ge3
_chemical_formula_sum 'Tb4 Ni4 Ge6'
_cell_length_a 4.1595
_cell_length_b 6.7464
_cell_length_c 9.1578
_cell_angle_alpha 90.00
_cell_angle_beta 103.13
_cell_angle_gamma 90.00
_symmetry_space_group_name_H-M 'P 1'
_symmetry_Int_Tables_number 1
loop_
_symmetry_equiv_pos_as_xyz
'x,y,z'
loop_
_atom_site_label
_atom_site_type_symbol
_atom_site_fract_x
_atom_site_fract_y
_atom_site_fract_z
_atom_site_occupancy
Tb1 Tb 0.1594 0.2500 0.3188 1
Tb2 Tb 0.8406 0.7500 0.6812 1
Tb3 Tb 0.9494 0.2500 0.8987 1
Tb4 Tb 0.0506 0.7500 0.1013 1
Ni1 Ni 0.6981 0.9455 0.3962 1
Ni2 Ni 0.3019 0.0545 0.6038 1
Ni3 Ni 0.3019 0.4455 0.6038 1
Ni4 Ni 0.6981 0.5545 0.3962 1
Ge1 Ge 0.2215 0.7500 0.4431 1
Ge2 Ge 0.7785 0.2500 0.5569 1
Ge3 Ge 0.5673 0.4402 0.1346 1
Ge4 Ge 0.4327 0.5598 0.8654 1
Ge5 Ge 0.4327 0.9402 0.8654 1
Ge6 Ge 0.5673 0.0598 0.1346 1


Q:
# Tb2Ni2Ge3 (PBE, optimized geometry)
# Total magnetic moment ... 0.0 μB/f.u.
data_Tb2Ni2Ge3
_chemical_formula_sum 'Tb2 Ni2 Ge3'
_cell_length_a 4.0573
_cell_length_b 5.4453
_cell_length_c 6.6309
_cell_angle_alpha 111.73
_cell_angle_beta 90.00
_cell_angle_gamma 111.87
_symmetry_space_group_name_H-M 'P 1'
_symmetry_Int_Tables_number 1
loop_
_symmetry_equiv_pos_as_xyz
'x,y,z'
loop_
_atom_site_label
_atom_site_type_symbol
_atom_site_fract_x
_atom_site_fract_y
_atom_site_fract_z
_atom_site_occupancy
Tb1 Tb 0.8515 0.7030 0.2165 1
Tb2 Tb 0.1485 0.2970 0.7835 1
Ni1 Ni 0.8575 0.7150 0.7506 1
Ni2 Ni 0.1425 0.2850 0.2494 1
Ge1 Ge 0.5000 0.0000 0.0000 1
Ge2 Ge 0.6177 0.2354 0.4458 1
Ge3 Ge 0.3823 0.7646 0.5542 1


Going by the computed energies, the most stable comes first: P, Q.